[1]
! Y2In3Rh PBE optimized geometry; values from VASP
&SYSTEM
  ibrav = 0, nat = 6, ntyp = 3
/
ATOMIC_SPECIES
Y 88.91 Y.upf
In 114.82 In.upf
Rh 102.91 Rh.upf
ATOMIC_POSITIONS angstrom
Y 0.0000 0.0000 0.0000
Y 0.0000 2.4233 3.6039
In 1.7967 0.0000 5.0459
In 1.7967 2.4233 1.0859
In 1.7967 2.4233 6.5591
Rh 1.7967 0.0000 2.3258
CELL_PARAMETERS angstrom
3.5934 0.0000 0.0000
0.0000 4.8465 0.0000
0.0000 0.0000 8.3153
! E	-0.388	Ry per atom
! space-group type	Pmm2 (25)
! density	7.17	g/cm3
! calculated formation energy	-3.16	eV per formula unit

[2]
! Cd2Pd5Au4 PBE optimized geometry; values from VASP
&SYSTEM
  ibrav = 0, nat = 22, ntyp = 3
/
ATOMIC_SPECIES
Cd 112.41 Cd.upf
Pd 106.42 Pd.upf
Au 196.97 Au.upf
ATOMIC_POSITIONS angstrom
Cd 0.8261 4.0690 0.0000
Cd 2.6512 13.3426 0.0000
Cd 4.3034 5.2046 0.0000
Cd 6.1284 14.4781 0.0000
Pd 0.0000 9.2736 1.4949
Pd 1.0360 1.6449 1.4949
Pd 1.4040 15.3669 1.4949
Pd 2.0732 6.0933 1.4949
Pd 2.4412 10.9185 1.4949
Pd 3.4773 0.0000 1.4949
Pd 4.5133 7.6287 1.4949
Pd 4.8813 12.4538 1.4949
Pd 5.5505 3.1802 1.4949
Pd 5.9185 16.9023 1.4949
Au 0.2047 11.7139 0.0000
Au 1.2166 17.7709 0.0000
Au 2.2607 8.4973 0.0000
Au 3.2726 2.4403 0.0000
Au 3.6820 16.1068 0.0000
Au 4.6939 10.0499 0.0000
Au 5.7380 0.7763 0.0000
Au 6.7499 6.8333 0.0000
CELL_PARAMETERS angstrom
6.9546 0.0000 0.0000
0.0000 18.5471 0.0000
0.0000 0.0000 2.9898
! E	-0.286	Ry per atom
! space-group type	Pbam (55)
! density	13.30	g/cm3
! ΔE to the lowest computed polymorph	0.000	eV per formula unit
! calculated formation energy	-1.86	eV per formula unit

[3]
! Pr8Sm2Ho3 PBE optimized geometry; values from VASP
&SYSTEM
  ibrav = 0, nat = 13, ntyp = 3
/
ATOMIC_SPECIES
Pr 140.91 Pr.upf
Sm 150.36 Sm.upf
Ho 164.93 Ho.upf
ATOMIC_POSITIONS angstrom
Pr 8.1984 2.2940 5.7680
Pr 3.5787 0.0000 2.8889
Pr 12.5178 2.2940 0.0004
Pr 7.6626 0.0000 2.8879
Pr 13.0536 0.0000 2.8805
Pr 8.1984 -2.2940 5.7680
Pr 17.1376 0.0000 2.8795
Pr 12.5178 -2.2940 0.0004
Sm 5.3923 0.0000 0.0070
Sm 15.3240 0.0000 5.7615
Ho 10.3581 2.2065 2.8842
Ho 10.3594 0.0000 0.0000
Ho 10.3581 -2.2065 2.8842
CELL_PARAMETERS angstrom
10.3594 -3.8763 0.0000
10.3594 3.8763 0.0000
-0.0025 0.0000 5.7684
! E	-0.333	Ry per atom
! space-group type	C2/m (12)
! density	6.89	g/cm3
! ΔE to the lowest computed polymorph	0.495	eV per formula unit
! calculated formation energy	2.54	eV per formula unit

[4]
! CsGaSnSb PBE optimized geometry; values from VASP
&SYSTEM
  ibrav = 0, nat = 8, ntyp = 4
/
ATOMIC_SPECIES
Cs 132.91 Cs.upf
Ga 69.72 Ga.upf
Sn 118.71 Sn.upf
Sb 121.76 Sb.upf
ATOMIC_POSITIONS angstrom
Cs 1.1400 1.1400 3.4812
Cs 3.4199 3.4199 11.3259
Ga 1.1400 3.4199 7.4036
Ga 3.4199 1.1400 7.4036
Sn 1.1400 3.4199 0.0000
Sn 3.4199 1.1400 0.0000
Sb 1.1400 1.1400 9.0047
Sb 3.4199 3.4199 5.8025
CELL_PARAMETERS angstrom
4.5599 0.0000 0.0000
0.0000 4.5599 0.0000
0.0000 0.0000 14.8072
! E	-0.234	Ry per atom
! space-group type	P4/nmm (129)
! formation energy (no corrections)	-0.185	eV/atom
! density	4.78	g/cm3

Number 2 is which compound?
Cd2Pd5Au4

What is the density in the second record?
13.30 g/cm3

Repeat the fourth record exactly.
! CsGaSnSb PBE optimized geometry; values from VASP
&SYSTEM
  ibrav = 0, nat = 8, ntyp = 4
/
ATOMIC_SPECIES
Cs 132.91 Cs.upf
Ga 69.72 Ga.upf
Sn 118.71 Sn.upf
Sb 121.76 Sb.upf
ATOMIC_POSITIONS angstrom
Cs 1.1400 1.1400 3.4812
Cs 3.4199 3.4199 11.3259
Ga 1.1400 3.4199 7.4036
Ga 3.4199 1.1400 7.4036
Sn 1.1400 3.4199 0.0000
Sn 3.4199 1.1400 0.0000
Sb 1.1400 1.1400 9.0047
Sb 3.4199 3.4199 5.8025
CELL_PARAMETERS angstrom
4.5599 0.0000 0.0000
0.0000 4.5599 0.0000
0.0000 0.0000 14.8072
! E	-0.234	Ry per atom
! space-group type	P4/nmm (129)
! formation energy (no corrections)	-0.185	eV/atom
! density	4.78	g/cm3